(1)
First-principles (GGA-PBE) data for an optimized crystal structure of Ca2HPtRh, as listed in Alexandria via LeMat-Bulk.

Summary:
E_tot, eV per atom: -4.6791
ρ, g cm⁻³: 7.265
Size of the total moment, Bohr magnetons per cell: 0.00
ΔE to the lowest computed polymorph, kJ/mol of atoms: 10.2

Unit cell a=4.934 b=4.934 c=3.560 alpha=90.00 beta=90.00 gamma=90.00
Element x y z (fractional)
H  0.000  0.000  0.000
Ca  0.000  0.500  0.000
Ca  0.500  0.000  0.000
Rh  0.500  0.500  0.500
Pt  0.000  0.000  0.500

(2)
First-principles (GGA-PBE) data for an optimized crystal structure of CaHPt2Rh, as listed in Alexandria via LeMat-Bulk.

Summary:
E_tot, eV per atom: -5.3122
ρ, g cm⁻³: 12.598
Size of the total moment, Bohr magnetons per cell: 0.00

Unit cell a=4.125 b=4.125 c=4.137 alpha=90.00 beta=90.00 gamma=90.00
Element x y z (fractional)
H  0.000  0.000  0.000
Ca  0.500  0.500  0.500
Rh  0.000  0.000  0.500
Pt  0.000  0.500  0.000
Pt  0.500  0.000  0.000

(3)
First-principles (GGA-PBE) data for an optimized crystal structure of Ca2SbHPt, as listed in Alexandria via LeMat-Bulk.

Summary:
E_tot, eV per atom: -4.2698
ρ, g cm⁻³: 6.463
Size of the total moment, Bohr magnetons per cell: 0.00

Unit cell a=5.272 b=5.272 c=3.679 alpha=90.00 beta=90.00 gamma=90.00
Element x y z (fractional)
Sb  0.500  0.500  0.500
Ca  0.000  0.500  0.000
Ca  0.500  0.000  0.000
Pt  0.000  0.000  0.500
H  0.000  0.000  0.000